VASP calculation (PBE with a Hubbard U) on crystalline Mo2CO at its relaxed geometry.

Summary:
The energy above the most stable polymorph in this dataset comes out at 473.7 meV/atom. The calculation puts the spin magnetization at 1.4 μB per formula unit. For the density of states at the Fermi level, the calculation gives 2.80 states/eV/f.u. Its symmetry is No. 225.

Unit cell a=3.9086 b=3.9086 c=3.9086 alpha=60.00 beta=60.00 gamma=60.00
Element x y z (fractional)
Mo  0.2500  0.2500  0.2500
Mo  0.7500  0.7500  0.7500
C  0.0000  0.0000  0.0000
O  0.5000  0.5000  0.5000